This record from Alexandria describes a geometry-optimized LiHoTi structure. The functional is PBE.

- Final energy: -4.70 eV per atom
- D(E_F): 8.42 states/eV per cell

Structure (POSCAR):
```
LiHoTi
1.0
3.5671 0.0000 0.0000
0.0000 3.5671 0.0000
0.0000 0.0000 10.6818
Ti Ho Li
2 2 2
Cartesian
0.0000 1.7835 5.8926 Ti
1.7835 0.0000 4.7891 Ti
0.0000 1.7835 2.8540 Ho
1.7835 0.0000 7.8278 Ho
1.7835 0.0000 0.7117 Li
0.0000 1.7835 9.9701 Li
```